Entry from Alexandria via LeMat-Bulk: a geometry-optimized Al2TlAsN structure (PBE).

a = 4.885 Å, b = 4.885 Å, c = 5.413 Å
α = 90.00°, β = 90.00°, γ = 90.00°
Positions (direct):
Al  0.000  0.500  0.000
Al  0.500  0.000  0.000
Tl  0.000  0.000  0.500
As  0.000  0.000  0.000
N  0.500  0.500  0.500

The calculation puts the formation energy without anion corrections at 35.4 kcal/mol of atoms. For the mass density, the calculation gives 4.5 g cm⁻³.